The following is a DFT calculation (PBE with a Hubbard U) of an optimized crystal structure of LiMnF3.

a b c (Å): 5.913 8.337 5.200
angles (deg): 90.00 90.00 90.00
Space group Pnma (No. 62)
Unique sites:
Li: 0.141 0.250 0.034 [4 per cell]
Mn: 0.000 0.000 0.500 [4 per cell]
F: 0.025 0.750 0.653 [4 per cell]
F: 0.190 0.069 0.826 [8 per cell]

Properties
Magnetic moment in μB/f.u.: 5.000
Offset from the most stable computed form in meV per atom: 14.4